Record 1
Density functional theory data (PBE) for a geometry-optimized LaNbAu structure.

Cell and atoms, written as POSCAR:
```
LaNbAu
1.0
-4.6860 -1.1180 -0.9088
-3.3833 0.5878 3.4989
-3.3393 3.5677 -0.3937
Nb Au La
1 1 1
direct
0.7500 0.7500 0.7500
0.0000 0.0000 0.0000
0.2500 0.2500 0.2500
```

Results
Its crystal system is cubic. Its energy above the lowest structure with this stoichiometry is 0.00 eV/f.u. The value obtained for the formation energy is 364 meV/atom.

Record 2
Density functional theory data (PBE) for a geometry-optimized LaNbAu structure.

Cell and atoms, written as POSCAR:
```
LaNbAu
1.0
2.4661 -4.0702 1.0722
-2.2079 -3.6296 2.3978
-1.0480 -4.1670 -2.3100
Au Nb La
1 1 1
direct
0.0000 0.0000 0.0000
0.5000 0.5000 0.5000
0.7500 0.7500 0.7500
```

Results
Its crystal system is cubic. Its energy above the lowest structure with this stoichiometry is 1.48 eV/f.u. The value obtained for the formation energy is 856 meV/atom.

Record 3
Density functional theory data (PBE) for a geometry-optimized LaNdPb2Au4 structure.

Cell and atoms, written as POSCAR:
```
LaNdPb2Au4
1.0
-3.9077 2.9310 -0.3898
2.1196 -1.8067 -4.0319
-5.7655 -7.6349 0.3903
Au Pb Nd La
4 2 1 1
direct
0.0000 0.0000 0.6477
0.3333 0.6667 0.8495
0.3333 0.6667 0.1505
0.0000 0.0000 0.3523
0.6667 0.3333 0.7481
0.6667 0.3333 0.2519
0.3333 0.6667 0.5000
0.0000 0.0000 0.0000
```

Results
Its crystal system is hexagonal. For the uncorrected energy, the calculation gives -35.034 eV/cell.

Record 4
Density functional theory data (PBE) for a geometry-optimized La2NdSi4Pd2Au2 structure.

Cell and atoms, written as POSCAR:
```
La2NdSi4Pd2Au2
1.0
-2.1418 2.1489 12.5634
2.1418 -2.1489 12.5634
2.1418 2.1489 -12.5634
Pd Si Au Nd La
2 4 2 1 2
direct
0.9059 0.4060 0.5000
0.0940 0.5940 0.5000
0.1907 0.6907 0.5000
0.4525 0.4525 0.0000
0.8093 0.3093 0.5000
0.5475 0.5475 0.0000
0.7511 0.7511 0.0000
0.2489 0.2489 0.0000
0.0000 0.0000 0.0000
0.6457 0.1457 0.5000
0.3543 0.8543 0.5000
```

Results
Its crystal system is orthorhombic. For the uncorrected energy, the calculation gives -62.283 eV/cell.

Record 5
Density functional theory data (PBE) for a geometry-optimized La2NdZn3Pd2Au structure.

Cell and atoms, written as POSCAR:
```
La2NdZn3Pd2Au
1.0
4.0581 0.0000 0.0000
0.0000 6.5518 3.7576
0.0000 -6.5518 3.7576
Pd Au Zn La Nd
2 1 3 2 1
direct
0.5000 0.3328 0.6664
0.5000 0.6664 0.3328
0.0000 0.0000 0.0000
0.5000 0.7512 0.9961
0.5000 0.9961 0.7512
0.5000 0.2523 0.2523
0.0000 0.9991 0.4126
0.0000 0.4126 0.9991
0.0000 0.5894 0.5894
```

Results
Its crystal system is orthorhombic. The value obtained for the formation energy is -688 meV/atom.

Record 6
Density functional theory data (PBE) for a geometry-optimized La2NdSi4Au4 structure.

Cell and atoms, written as POSCAR:
```
La2NdSi4Au4
1.0
-2.1618 2.1636 12.6628
2.1618 -2.1636 12.6628
2.1618 2.1636 -12.6628
Nd Si Au La
1 4 4 2
direct
0.0000 0.0000 0.0000
0.8077 0.3077 0.5000
0.1923 0.6923 0.5000
0.5468 0.5468 0.0000
0.4532 0.4532 0.0000
0.2497 0.2497 0.0000
0.9057 0.4057 0.5000
0.0943 0.5943 0.5000
0.7503 0.7503 0.0000
0.6479 0.1479 0.5000
0.3521 0.8521 0.5000
```

Results
Its crystal system is orthorhombic. For the uncorrected energy, the calculation gives -57.860 eV/cell.

Number 1: calculated density 8.5 g/cm³. Number 2: calculated density 8.7 g/cm³. Number 3: calculated density 12.4 g/cm³. Number 4: calculated density 8.2 g/cm³. Number 5: calculated density 8.5 g/cm³. Number 6: calculated density 9.3 g/cm³.